# GGA-PBEsol BiSbIN2, optimized geometry
# Theoretical density (g cm⁻³): 6.6
# E_form (uncorrected) (eV per atom): 1.58
data_BiSbIN2
_chemical_formula_sum 'Bi1 Sb1 I1 N2'
_space_group_name_H-M_alt 'P 4/m m m'
_space_group_IT_number 123
_space_group_name_Hall '-P 4 2'
_cell_length_a 4.399
_cell_length_b 4.399
_cell_length_c 6.271
_cell_angle_alpha 90.00
_cell_angle_beta 90.00
_cell_angle_gamma 90.00
loop_
_atom_site_label
_atom_site_type_symbol
_atom_site_fract_x
_atom_site_fract_y
_atom_site_fract_z
Bi1 Bi 0.000 0.000 0.000
Sb1 Sb 0.500 0.500 0.500
I1 I 0.000 0.000 0.500
N1 N 0.000 0.500 0.000

# GGA-PBEsol SnBiI2N, optimized geometry
# Theoretical density (g cm⁻³): 7.0
# E_form (uncorrected) (eV per atom): 0.52
data_SnBiI2N
_chemical_formula_sum 'Sn1 Bi1 I2 N1'
_space_group_name_H-M_alt 'P 4/m m m'
_space_group_IT_number 123
_space_group_name_Hall '-P 4 2'
_cell_length_a 6.073
_cell_length_b 6.073
_cell_length_c 3.841
_cell_angle_alpha 90.00
_cell_angle_beta 90.00
_cell_angle_gamma 90.00
loop_
_atom_site_label
_atom_site_type_symbol
_atom_site_fract_x
_atom_site_fract_y
_atom_site_fract_z
Sn1 Sn 0.000 0.000 0.000
Bi1 Bi 0.500 0.500 0.500
I1 I 0.000 0.500 0.000
N1 N 0.000 0.000 0.500

# GGA-PBEsol TiBiIN2, optimized geometry
# Theoretical density (g cm⁻³): 7.4
# E_form (uncorrected) (eV per atom): 0.55
data_TiBiIN2
_chemical_formula_sum 'Ti1 Bi1 I1 N2'
_space_group_name_H-M_alt 'P 4/m m m'
_space_group_IT_number 123
_space_group_name_Hall '-P 4 2'
_cell_length_a 4.159
_cell_length_b 4.159
_cell_length_c 5.355
_cell_angle_alpha 90.00
_cell_angle_beta 90.00
_cell_angle_gamma 90.00
loop_
_atom_site_label
_atom_site_type_symbol
_atom_site_fract_x
_atom_site_fract_y
_atom_site_fract_z
Ti1 Ti 0.000 0.000 0.000
Bi1 Bi 0.500 0.500 0.500
I1 I 0.000 0.000 0.500
N1 N 0.000 0.500 0.000

# GGA-PBEsol TlBiIN2, optimized geometry
# Theoretical density (g cm⁻³): 8.0
# E_form (uncorrected) (eV per atom): 1.71
data_TlBiIN2
_chemical_formula_sum 'Tl1 Bi1 I1 N2'
_space_group_name_H-M_alt 'P 4/m m m'
_space_group_IT_number 123
_space_group_name_Hall '-P 4 2'
_cell_length_a 4.459
_cell_length_b 4.459
_cell_length_c 5.961
_cell_angle_alpha 90.00
_cell_angle_beta 90.00
_cell_angle_gamma 90.00
loop_
_atom_site_label
_atom_site_type_symbol
_atom_site_fract_x
_atom_site_fract_y
_atom_site_fract_z
Tl1 Tl 0.000 0.000 0.000
Bi1 Bi 0.500 0.500 0.500
I1 I 0.000 0.000 0.500
N1 N 0.000 0.500 0.000

# GGA-PBEsol BiWIN2, optimized geometry
# Theoretical density (g cm⁻³): 9.8
# E_form (uncorrected) (eV per atom): 0.84
data_BiWIN2
_chemical_formula_sum 'Bi1 W1 I1 N2'
_space_group_name_H-M_alt 'P 4/m m m'
_space_group_IT_number 123
_space_group_name_Hall '-P 4 2'
_cell_length_a 4.114
_cell_length_b 4.114
_cell_length_c 5.477
_cell_angle_alpha 90.00
_cell_angle_beta 90.00
_cell_angle_gamma 90.00
loop_
_atom_site_label
_atom_site_type_symbol
_atom_site_fract_x
_atom_site_fract_y
_atom_site_fract_z
Bi1 Bi 0.000 0.000 0.000
W1 W 0.500 0.500 0.500
I1 I 0.500 0.500 0.000
N1 N 0.000 0.500 0.500

# GGA-PBEsol ZnBiI2N, optimized geometry
# Theoretical density (g cm⁻³): 7.1
# E_form (uncorrected) (eV per atom): 0.52
data_ZnBiI2N
_chemical_formula_sum 'Zn1 Bi1 I2 N1'
_space_group_name_H-M_alt 'P 4/m m m'
_space_group_IT_number 123
_space_group_name_Hall '-P 4 2'
_cell_length_a 5.840
_cell_length_b 5.840
_cell_length_c 3.702
_cell_angle_alpha 90.00
_cell_angle_beta 90.00
_cell_angle_gamma 90.00
loop_
_atom_site_label
_atom_site_type_symbol
_atom_site_fract_x
_atom_site_fract_y
_atom_site_fract_z
Zn1 Zn 0.000 0.000 0.000
Bi1 Bi 0.500 0.500 0.500
I1 I 0.000 0.500 0.000
N1 N 0.000 0.000 0.500

# GGA-PBEsol NaBi3I, optimized geometry
# Theoretical density (g cm⁻³): 7.7
# E_form (uncorrected) (eV per atom): 0.63
data_NaBi3I
_chemical_formula_sum 'Na1 Bi3 I1'
_space_group_name_H-M_alt 'P m -3 m'
_space_group_IT_number 221
_space_group_name_Hall '-P 4 2 3'
_cell_length_a 5.516
_cell_length_b 5.516
_cell_length_c 5.516
_cell_angle_alpha 90.00
_cell_angle_beta 90.00
_cell_angle_gamma 90.00
loop_
_atom_site_label
_atom_site_type_symbol
_atom_site_fract_x
_atom_site_fract_y
_atom_site_fract_z
Na1 Na 0.000 0.000 0.000
Bi1 Bi 0.000 0.000 0.500
I1 I 0.500 0.500 0.500

# GGA-PBEsol Rb2NaBiI6, optimized geometry
# Theoretical density (g cm⁻³): 4.3
# E_form (uncorrected) (eV per atom): -0.97
data_Rb2NaBiI6
_chemical_formula_sum 'Rb8 Na4 Bi4 I24'
_space_group_name_H-M_alt 'F m -3 m'
_space_group_IT_number 225
_space_group_name_Hall '-F 4 2 3'
_cell_length_a 12.163
_cell_length_b 12.163
_cell_length_c 12.163
_cell_angle_alpha 90.00
_cell_angle_beta 90.00
_cell_angle_gamma 90.00
loop_
_atom_site_label
_atom_site_type_symbol
_atom_site_fract_x
_atom_site_fract_y
_atom_site_fract_z
Rb1 Rb 0.250 0.250 0.250
Na1 Na 0.000 0.000 0.000
Bi1 Bi 0.000 0.000 0.500
I1 I 0.000 0.000 0.251

# GGA-PBEsol NaBiTe2I, optimized geometry
# Theoretical density (g cm⁻³): 6.3
# E_form (uncorrected) (eV per atom): 0.36
data_NaBiTe2I
_chemical_formula_sum 'Na1 Bi1 Te2 I1'
_space_group_name_H-M_alt 'P 4/m m m'
_space_group_IT_number 123
_space_group_name_Hall '-P 4 2'
_cell_length_a 5.446
_cell_length_b 5.446
_cell_length_c 5.464
_cell_angle_alpha 90.00
_cell_angle_beta 90.00
_cell_angle_gamma 90.00
loop_
_atom_site_label
_atom_site_type_symbol
_atom_site_fract_x
_atom_site_fract_y
_atom_site_fract_z
Na1 Na 0.000 0.000 0.000
Bi1 Bi 0.500 0.500 0.500
Te1 Te 0.000 0.500 0.000
I1 I 0.000 0.000 0.500

# GGA-PBEsol NiBiI2, optimized geometry
# Theoretical density (g cm⁻³): 6.6
# E_form (uncorrected) (eV per atom): 0.14
data_NiBiI2
_chemical_formula_sum 'Ni4 Bi4 I8'
_space_group_name_H-M_alt 'I -4 2 d'
_space_group_IT_number 122
_space_group_name_Hall 'I -4 2bw'
_cell_length_a 10.139
_cell_length_b 10.139
_cell_length_c 5.087
_cell_angle_alpha 90.00
_cell_angle_beta 90.00
_cell_angle_gamma 90.00
loop_
_atom_site_label
_atom_site_type_symbol
_atom_site_fract_x
_atom_site_fract_y
_atom_site_fract_z
Ni1 Ni 0.000 0.000 0.000
Bi1 Bi 0.000 0.000 0.500
I1 I 0.062 0.750 0.125

# GGA-PBEsol NiBiIO2, optimized geometry
# Theoretical density (g cm⁻³): 8.7
# E_form (uncorrected) (eV per atom): 0.12
data_NiBiIO2
_chemical_formula_sum 'Ni1 Bi1 I1 O2'
_space_group_name_H-M_alt 'P 4/m m m'
_space_group_IT_number 123
_space_group_name_Hall '-P 4 2'
_cell_length_a 4.169
_cell_length_b 4.169
_cell_length_c 4.679
_cell_angle_alpha 90.00
_cell_angle_beta 90.00
_cell_angle_gamma 90.00
loop_
_atom_site_label
_atom_site_type_symbol
_atom_site_fract_x
_atom_site_fract_y
_atom_site_fract_z
Ni1 Ni 0.000 0.000 0.000
Bi1 Bi 0.500 0.500 0.500
I1 I 0.000 0.000 0.500
O1 O 0.000 0.500 0.000

# GGA-PBEsol ZrNiBiI2, optimized geometry
# Theoretical density (g cm⁻³): 7.8
# E_form (uncorrected) (eV per atom): 0.44
data_ZrNiBiI2
_chemical_formula_sum 'Zr1 Ni1 Bi1 I2'
_space_group_name_H-M_alt 'P 4/m m m'
_space_group_IT_number 123
_space_group_name_Hall '-P 4 2'
_cell_length_a 4.977
_cell_length_b 4.977
_cell_length_c 5.267
_cell_angle_alpha 90.00
_cell_angle_beta 90.00
_cell_angle_gamma 90.00
loop_
_atom_site_label
_atom_site_type_symbol
_atom_site_fract_x
_atom_site_fract_y
_atom_site_fract_z
Zr1 Zr 0.000 0.000 0.000
Ni1 Ni 0.500 0.500 0.500
Bi1 Bi 0.500 0.500 0.000
I1 I 0.000 0.500 0.500

# GGA-PBEsol Bi2IO, optimized geometry
# Theoretical density (g cm⁻³): 9.8
# E_form (uncorrected) (eV per atom): 0.38
data_Bi2IO
_chemical_formula_sum 'Bi8 I4 O4'
_space_group_name_H-M_alt 'F m -3 m'
_space_group_IT_number 225
_space_group_name_Hall '-F 4 2 3'
_cell_length_a 7.250
_cell_length_b 7.250
_cell_length_c 7.250
_cell_angle_alpha 90.00
_cell_angle_beta 90.00
_cell_angle_gamma 90.00
loop_
_atom_site_label
_atom_site_type_symbol
_atom_site_fract_x
_atom_site_fract_y
_atom_site_fract_z
Bi1 Bi 0.250 0.250 0.250
I1 I 0.000 0.000 0.000
O1 O 0.000 0.000 0.500

# GGA-PBEsol BiIO, optimized geometry
# Theoretical density (g cm⁻³): 7.9
# E_form (uncorrected) (eV per atom): -1.01
data_BiIO
_chemical_formula_sum 'Bi2 I2 O2'
_space_group_name_H-M_alt 'P 4/n m m'
_space_group_IT_number 129
_cell_length_a 3.975
_cell_length_b 3.975
_cell_length_c 9.309
_cell_angle_alpha 90.00
_cell_angle_beta 90.00
_cell_angle_gamma 90.00
loop_
_space_group_symop_operation_xyz
'x,y,z'
'-x,-y,-z'
'-y+1/2,x,z'
'y+1/2,-x,-z'
'-x+1/2,-y+1/2,z'
'x+1/2,y+1/2,-z'
'y,-x+1/2,z'
'-y,x+1/2,-z'
'x+1/2,-y,-z'
'-x+1/2,y,z'
'-y,-x,-z'
'y,x,z'
'-x,y+1/2,-z'
'x,-y+1/2,z'
'y+1/2,x+1/2,-z'
'-y+1/2,-x+1/2,z'
loop_
_atom_site_label
_atom_site_type_symbol
_atom_site_fract_x
_atom_site_fract_y
_atom_site_fract_z
Bi1 Bi 0.250 0.250 0.132
I1 I 0.250 0.250 0.672
O1 O 0.250 0.750 0.000

# GGA-PBEsol BiIO2, optimized geometry
# Theoretical density (g cm⁻³): 7.5
# E_form (uncorrected) (eV per atom): -0.68
# Offset from the most stable computed form (eV/atom): 0.000
data_BiIO2
_chemical_formula_sum 'Bi3 I3 O6'
_space_group_name_H-M_alt 'R -3 m'
_space_group_IT_number 166
_space_group_name_Hall '-R 3 2"'
_cell_length_a 3.8266
_cell_length_b 3.8266
_cell_length_c 19.1668
_cell_angle_alpha 90.00
_cell_angle_beta 90.00
_cell_angle_gamma 120.00
loop_
_atom_site_label
_atom_site_type_symbol
_atom_site_fract_x
_atom_site_fract_y
_atom_site_fract_z
Bi1 Bi 0.0000 0.0000 0.0000
I1 I 0.0000 0.0000 0.5000
O1 O 0.0000 0.0000 0.3848

# GGA-PBEsol BiI3O9, optimized geometry
# Theoretical density (g cm⁻³): 6.4
# E_form (uncorrected) (eV per atom): -0.56
data_BiI3O9
_chemical_formula_sum 'Bi4 I12 O36'
_space_group_name_H-M_alt 'P 1 21/c 1'
_space_group_IT_number 14
_space_group_name_Hall '-P 2ybc'
_cell_length_a 8.779
_cell_length_b 5.823
_cell_length_c 16.496
_cell_angle_alpha 90.00
_cell_angle_beta 114.63
_cell_angle_gamma 90.00
loop_
_atom_site_label
_atom_site_type_symbol
_atom_site_fract_x
_atom_site_fract_y
_atom_site_fract_z
Bi1 Bi 0.144 0.226 0.100
I1 I 0.071 0.185 0.349
I2 I 0.361 0.646 0.522
I3 I 0.414 0.600 0.798
O1 O 0.059 0.062 0.709
O2 O 0.097 0.075 0.459
O3 O 0.109 0.620 0.672
O4 O 0.134 0.581 0.489
O5 O 0.327 0.596 0.881
O6 O 0.343 0.191 0.255
O7 O 0.365 0.096 0.947
O8 O 0.372 0.504 0.132
O9 O 0.408 0.027 0.124

# GGA-PBEsol BiPdI2O, optimized geometry
# Theoretical density (g cm⁻³): 6.4
# E_form (uncorrected) (eV per atom): 0.25
data_BiPdI2O
_chemical_formula_sum 'Bi1 Pd1 I2 O1'
_space_group_name_H-M_alt 'P 4/m m m'
_space_group_IT_number 123
_space_group_name_Hall '-P 4 2'
_cell_length_a 6.024
_cell_length_b 6.024
_cell_length_c 4.187
_cell_angle_alpha 90.00
_cell_angle_beta 90.00
_cell_angle_gamma 90.00
loop_
_atom_site_label
_atom_site_type_symbol
_atom_site_fract_x
_atom_site_fract_y
_atom_site_fract_z
Bi1 Bi 0.000 0.000 0.000
Pd1 Pd 0.500 0.500 0.500
I1 I 0.000 0.500 0.000
O1 O 0.000 0.000 0.500

# GGA-PBEsol RbBiIO2, optimized geometry
# Theoretical density (g cm⁻³): 6.0
# E_form (uncorrected) (eV per atom): -0.73
data_RbBiIO2
_chemical_formula_sum 'Rb1 Bi1 I1 O2'
_space_group_name_H-M_alt 'P 4/m m m'
_space_group_IT_number 123
_space_group_name_Hall '-P 4 2'
_cell_length_a 4.504
_cell_length_b 4.504
_cell_length_c 6.200
_cell_angle_alpha 90.00
_cell_angle_beta 90.00
_cell_angle_gamma 90.00
loop_
_atom_site_label
_atom_site_type_symbol
_atom_site_fract_x
_atom_site_fract_y
_atom_site_fract_z
Rb1 Rb 0.000 0.000 0.000
Bi1 Bi 0.500 0.500 0.500
I1 I 0.500 0.500 0.000
O1 O 0.000 0.500 0.500

# GGA-PBEsol ReBiI2O, optimized geometry
# Theoretical density (g cm⁻³): 9.4
# E_form (uncorrected) (eV per atom): 0.00
data_ReBiI2O
_chemical_formula_sum 'Re1 Bi1 I2 O1'
_space_group_name_H-M_alt 'P 4/m m m'
_space_group_IT_number 123
_space_group_name_Hall '-P 4 2'
_cell_length_a 5.596
_cell_length_b 5.596
_cell_length_c 3.765
_cell_angle_alpha 90.00
_cell_angle_beta 90.00
_cell_angle_gamma 90.00
loop_
_atom_site_label
_atom_site_type_symbol
_atom_site_fract_x
_atom_site_fract_y
_atom_site_fract_z
Re1 Re 0.000 0.000 0.000
Bi1 Bi 0.500 0.500 0.500
I1 I 0.000 0.500 0.000
O1 O 0.000 0.000 0.500

# GGA-PBEsol BiRuIO2, optimized geometry
# Theoretical density (g cm⁻³): 8.7
# E_form (uncorrected) (eV per atom): 0.13
data_BiRuIO2
_chemical_formula_sum 'Bi1 Ru1 I1 O2'
_space_group_name_H-M_alt 'P 4/m m m'
_space_group_IT_number 123
_space_group_name_Hall '-P 4 2'
_cell_length_a 4.111
_cell_length_b 4.111
_cell_length_c 5.268
_cell_angle_alpha 90.00
_cell_angle_beta 90.00
_cell_angle_gamma 90.00
loop_
_atom_site_label
_atom_site_type_symbol
_atom_site_fract_x
_atom_site_fract_y
_atom_site_fract_z
Bi1 Bi 0.000 0.000 0.000
Ru1 Ru 0.500 0.500 0.500
I1 I 0.500 0.500 0.000
O1 O 0.000 0.500 0.500

# GGA-PBEsol BiSbIO2, optimized geometry
# Theoretical density (g cm⁻³): 7.3
# E_form (uncorrected) (eV per atom): -0.13
data_BiSbIO2
_chemical_formula_sum 'Bi1 Sb1 I1 O2'
_space_group_name_H-M_alt 'P 4/m m m'
_space_group_IT_number 123
_space_group_name_Hall '-P 4 2'
_cell_length_a 4.249
_cell_length_b 4.249
_cell_length_c 6.197
_cell_angle_alpha 90.00
_cell_angle_beta 90.00
_cell_angle_gamma 90.00
loop_
_atom_site_label
_atom_site_type_symbol
_atom_site_fract_x
_atom_site_fract_y
_atom_site_fract_z
Bi1 Bi 0.000 0.000 0.000
Sb1 Sb 0.500 0.500 0.500
I1 I 0.500 0.500 0.000
O1 O 0.000 0.500 0.500

# GGA-PBEsol SiBiI2O, optimized geometry
# Theoretical density (g cm⁻³): 6.1
# E_form (uncorrected) (eV per atom): 0.01
data_SiBiI2O
_chemical_formula_sum 'Si1 Bi1 I2 O1'
_space_group_name_H-M_alt 'P 4/m m m'
_space_group_IT_number 123
_space_group_name_Hall '-P 4 2'
_cell_length_a 6.332
_cell_length_b 6.332
_cell_length_c 3.414
_cell_angle_alpha 90.00
_cell_angle_beta 90.00
_cell_angle_gamma 90.00
loop_
_atom_site_label
_atom_site_type_symbol
_atom_site_fract_x
_atom_site_fract_y
_atom_site_fract_z
Si1 Si 0.000 0.000 0.000
Bi1 Bi 0.500 0.500 0.000
I1 I 0.000 0.500 0.500
O1 O 0.000 0.000 0.500

# GGA-PBEsol SnBiI2O, optimized geometry
# Theoretical density (g cm⁻³): 6.1
# E_form (uncorrected) (eV per atom): -0.13
data_SnBiI2O
_chemical_formula_sum 'Sn1 Bi1 I2 O1'
_space_group_name_H-M_alt 'P 4/m m m'
_space_group_IT_number 123
_space_group_name_Hall '-P 4 2'
_cell_length_a 6.179
_cell_length_b 6.179
_cell_length_c 4.253
_cell_angle_alpha 90.00
_cell_angle_beta 90.00
_cell_angle_gamma 90.00
loop_
_atom_site_label
_atom_site_type_symbol
_atom_site_fract_x
_atom_site_fract_y
_atom_site_fract_z
Sn1 Sn 0.000 0.000 0.000
Bi1 Bi 0.500 0.500 0.500
I1 I 0.000 0.500 0.500
O1 O 0.500 0.500 0.000

# GGA-PBEsol SnBiIO2, optimized geometry
# Theoretical density (g cm⁻³): 6.7
# E_form (uncorrected) (eV per atom): -0.16
data_SnBiIO2
_chemical_formula_sum 'Sn1 Bi1 I1 O2'
_space_group_name_H-M_alt 'P 4/m m m'
_space_group_IT_number 123
_space_group_name_Hall '-P 4 2'
_cell_length_a 4.453
_cell_length_b 4.453
_cell_length_c 6.060
_cell_angle_alpha 90.00
_cell_angle_beta 90.00
_cell_angle_gamma 90.00
loop_
_atom_site_label
_atom_site_type_symbol
_atom_site_fract_x
_atom_site_fract_y
_atom_site_fract_z
Sn1 Sn 0.000 0.000 0.000
Bi1 Bi 0.500 0.500 0.500
I1 I 0.500 0.500 0.000
O1 O 0.000 0.500 0.500

# GGA-PBEsol SrBiIO2, optimized geometry
# Theoretical density (g cm⁻³): 6.7
# E_form (uncorrected) (eV per atom): -1.87
data_SrBiIO2
_chemical_formula_sum 'Sr4 Bi4 I4 O8'
_space_group_name_H-M_alt 'C m c m'
_space_group_IT_number 63
_space_group_name_Hall '-C 2c 2'
_cell_length_a 5.860
_cell_length_b 13.390
_cell_length_c 5.747
_cell_angle_alpha 90.00
_cell_angle_beta 90.00
_cell_angle_gamma 90.00
loop_
_atom_site_label
_atom_site_type_symbol
_atom_site_fract_x
_atom_site_fract_y
_atom_site_fract_z
Sr1 Sr 0.000 0.094 0.250
Bi1 Bi 0.000 0.424 0.250
I1 I 0.000 0.245 0.750
O1 O 0.233 0.500 0.000